# 1
# LuSnHg

An optimized crystal structure of LuSnHg (GGA-PBE, OQMD via LeMat-Bulk).

abc: 4.9695 4.9695 4.9695
angles: 60.00 60.00 60.00
Element x y z (fractional)
Hg1 0.2500 0.2500 0.2500
Lu1 0.0000 0.0000 0.0000
Sn1 0.7500 0.7500 0.7500

Output
For the raw total energy, the calculation gives -9.42 eV/cell. Its total magnetization is 0.00 μB per formula unit.

=====

# 2
# CoHgPtPb

An optimized crystal structure of CoHgPtPb (GGA-PBE, OQMD via LeMat-Bulk).

abc: 4.7196 4.7196 4.7196
angles: 60.00 60.00 60.00
Last column: magnetic moment on the atom in μB.
Element x y z (fractional)
Hg1 0.5000 0.5000 0.5000  -0.02
Pt1 0.2500 0.2500 0.2500  0.10
Co1 0.7500 0.7500 0.7500  1.46
Pb1 0.0000 0.0000 0.0000  -0.01

Output
For the raw total energy, the calculation gives -15.93 eV/cell. Its total magnetization is 1.49 μB per formula unit.

=====

# 3
# Ba3Ta2S8

An optimized crystal structure of Ba3Ta2S8 (GGA-PBE, OQMD via LeMat-Bulk).

abc: 12.0832 6.9165 12.7169
angles: 90.00 109.05 90.00
Element x y z (fractional)
S1 0.6761 0.0000 0.6322
Ba1 0.4056 0.0000 0.6354
S2 0.6870 0.2481 0.1985
Ba2 0.2781 0.5000 0.3441
S3 0.6161 0.2567 0.8468
S4 0.9439 0.5000 0.2995
Ba3 0.9538 0.0000 0.3089
S5 0.3839 0.2567 0.1532
Ba4 0.5944 0.0000 0.3646
S6 0.0561 0.5000 0.7005
S7 0.9083 0.7583 0.8546
S8 0.4218 0.5000 0.6042
Ta1 0.2698 0.0000 0.1724
S9 0.5782 0.5000 0.3958
S10 0.1527 0.7456 0.5158
S11 0.9083 0.2417 0.8546
Ba5 0.1838 0.5000 0.9638
Ta2 0.7338 0.5000 0.3243
S12 0.0917 0.7583 0.1454
S13 0.1527 0.2544 0.5158
S14 0.1789 0.0000 0.9542
Ba6 0.5000 0.0000 0.0000
Ta3 0.7302 0.0000 0.8276
Ta4 0.2662 0.5000 0.6757
S15 0.3130 0.2481 0.8015
S16 0.0917 0.2417 0.1454
Ta5 0.0000 0.0000 0.0000
S17 0.6870 0.7519 0.1985
S18 0.3839 0.7433 0.1532
S19 0.8211 0.0000 0.0458
S20 0.6161 0.7433 0.8468
Ba7 0.8162 0.5000 0.0362
S21 0.8473 0.7456 0.4842
S22 0.8473 0.2544 0.4842
Ba8 0.7219 0.5000 0.6559
Ba9 0.0462 0.0000 0.6911
S23 0.3239 0.0000 0.3678
S24 0.3130 0.7519 0.8015
Ta6 0.0000 0.5000 0.5000

Output
For the raw total energy, the calculation gives -247.50 eV/cell. Its total magnetization is 0.00 μB per formula unit.